{
  "formula": "Li15ZnHg4",
  "functional": "GGA-PBE",
  "state": "relaxed",
  "lattice_angstrom": [[-3.9489, 1.3964, 0.8628], [-0.9584, -3.7864, 1.7415], [5.9789, 6.3479, 17.0920]],
  "species": ["Li", "Li", "Li", "Li", "Li", "Li", "Li", "Li", "Li", "Li", "Li", "Li", "Li", "Li", "Li", "Hg", "Hg", "Hg", "Hg", "Zn"],
  "fractional_positions": [[0.5000, 0.5000, 0.1972], [0.5000, 0.0000, 0.2979], [0.5000, 0.5000, 0.0000], [0.5000, 0.5000, 0.8028], [0.5000, 0.0000, 0.9033], [0.5000, 0.0000, 0.0967], [0.0000, 0.5000, 0.2979], [0.0000, 0.5000, 0.5000], [0.5000, 0.0000, 0.5000], [0.0000, 0.5000, 0.9033], [0.5000, 0.0000, 0.7021], [0.0000, 0.5000, 0.7021], [0.0000, 0.5000, 0.0967], [0.5000, 0.5000, 0.3990], [0.5000, 0.5000, 0.6010], [0.0000, 0.0000, 0.6011], [0.0000, 0.0000, 0.3989], [0.0000, 0.0000, 0.8036], [0.0000, 0.0000, 0.1964], [0.0000, 0.0000, 0.0000]],
  "e_form_ev_per_fu": -4.7,
  "dos_ef_per_ev_atom": 0.376
}

=====

{
  "formula": "SmTlGeS4",
  "functional": "GGA-PBE",
  "state": "relaxed",
  "lattice_angstrom": [[6.6064, 0.0000, 0.0157], [0.0000, 6.6738, 0.0000], [-2.5697, 0.0000, 8.4087]],
  "species": ["S", "S", "S", "S", "S", "S", "S", "S", "Sm", "Sm", "Tl", "Tl", "Ge", "Ge"],
  "fractional_positions": [[0.5757, 0.2500, 0.4238], [0.9997, 0.5072, 0.7122], [0.4243, 0.7500, 0.5762], [0.5727, 0.2500, 0.8371], [0.0003, 0.0072, 0.2878], [0.0003, 0.4928, 0.2878], [0.4273, 0.7500, 0.1629], [0.9997, 0.9928, 0.7122], [0.7705, 0.7500, 0.4457], [0.2295, 0.2500, 0.5543], [0.7356, 0.7500, 0.9301], [0.2644, 0.2500, 0.0699], [0.2257, 0.7500, 0.3231], [0.7743, 0.2500, 0.6769]],
  "dos_ef_per_ev_atom": 0.000,
  "e_form_raw_ev_per_fu": -7.03
}